Record 1
Compound: YBeCl2
Source: Alexandria via LeMat-Bulk
Functional: PBE
Structure: relaxed

```
YBeCl2
1.0
-2.9438 -0.4711 2.0004
1.8168 -2.8866 -1.1210
4.8505 0.2571 7.1988
Y Be Cl
1 1 2
Cartesian
2.5883 0.1372 3.8413 Y
3.1539 -1.4818 5.9567 Be
4.3300 0.2295 6.4263 Cl
0.9271 -1.5998 2.6520 Cl
```

Its space group is Cmm2 (35). The calculation puts the energy above the most stable polymorph in this dataset at 0.047 eV/atom. For the magnetic moment, the calculation gives 0.00 μB per formula unit. The formation energy (no corrections) is -87.51 kJ/mol of atoms.

---

Record 2
Compound: YBe2Cl
Source: Alexandria via LeMat-Bulk
Functional: PBE
Structure: relaxed

```
YBe2Cl
1.0
-1.5994 3.4659 3.1261
-2.9409 -1.4406 0.0925
1.3297 -2.4949 3.4464
Y Be Cl
1 2 1
Cartesian
-2.0081 -1.2186 4.2173 Y
0.5758 -2.8186 3.4195 Be
-0.0516 -1.6441 1.7964 Be
-1.2025 0.7491 2.4478 Cl
```

Its space group is Pmmm (47). The calculation puts the energy above the most stable polymorph in this dataset at 0.429 eV/atom. For the magnetic moment, the calculation gives 0.00 μB per formula unit. The formation energy (no corrections) is 11.70 kJ/mol of atoms.

---

Record 3
Compound: YBeCl2
Source: Alexandria via LeMat-Bulk
Functional: PBE
Structure: relaxed

```
YBeCl2
1.0
-3.3864 -0.5830 3.8189
-2.8040 -4.1169 -1.2572
5.1059 0.5212 0.2229
Y Be Cl
1 1 2
Cartesian
-0.3967 -2.9728 0.1233 Y
-0.6879 -1.2059 2.6613 Be
0.0000 0.0000 0.0000 Cl
-3.0952 -2.3500 1.2809 Cl
```

Its space group is I4/mmm (139). The calculation puts the energy above the most stable polymorph in this dataset at 0.401 eV/atom. For the magnetic moment, the calculation gives 0.00 μB per formula unit. The formation energy (no corrections) is -53.37 kJ/mol of atoms.

---

Record 4
Compound: YBe2Cl
Source: Alexandria via LeMat-Bulk
Functional: PBE
Structure: relaxed

```
YBe2Cl
1.0
8.2410 -0.0204 -0.0121
7.5925 3.2043 -0.0121
7.5925 1.5268 2.8172
Y Be Cl
1 2 1
Cartesian
17.5696 3.5330 2.0948 Y
23.1464 4.6545 2.7597 Be
11.9928 2.4116 1.4299 Be
5.8565 1.1777 0.6983 Cl
```

Its space group is R-3m (166). The calculation puts the energy above the most stable polymorph in this dataset at 0.715 eV/atom. For the magnetic moment, the calculation gives 0.01 μB per formula unit. The formation energy (no corrections) is 39.26 kJ/mol of atoms.

---

Record 5
Compound: YBeCl2
Source: Alexandria via LeMat-Bulk
Functional: PBE
Structure: relaxed

```
YBeCl2
1.0
4.1687 0.0000 0.0000
0.0000 4.3547 0.0000
0.0000 0.0000 4.3547
Y Be Cl
1 1 2
Cartesian
2.0844 2.1774 0.0000 Y
2.0844 0.0000 2.1774 Be
0.0000 0.0000 0.0000 Cl
0.0000 2.1774 2.1774 Cl
```

Its space group is P4/mmm (123). The calculation puts the energy above the most stable polymorph in this dataset at 0.455 eV/atom. For the magnetic moment, the calculation gives 0.00 μB per formula unit. The formation energy (no corrections) is -48.14 kJ/mol of atoms.

---

Record 6
Compound: YBeCl2
Source: Alexandria via LeMat-Bulk
Functional: PBE
Structure: relaxed

```
YBeCl2
1.0
3.5885 0.0000 0.0000
0.0000 5.2558 0.0000
0.0000 0.0000 4.2495
Y Be Cl
1 1 2
Cartesian
1.7942 0.0000 2.1247 Y
0.0000 2.6279 2.1247 Be
0.0000 0.0000 0.0000 Cl
1.7942 2.6279 0.0000 Cl
```

Its space group is Pmmm (47). The calculation puts the energy above the most stable polymorph in this dataset at 0.406 eV/atom. For the magnetic moment, the calculation gives 0.00 μB per formula unit. The formation energy (no corrections) is -52.89 kJ/mol of atoms.

---

Record 7
Compound: YBe2Cl
Source: Alexandria via LeMat-Bulk
Functional: PBE
Structure: relaxed

```
YBe2Cl
1.0
3.3688 0.0000 0.0000
0.0000 3.3688 0.0000
0.0000 0.0000 6.1083
Y Be Cl
1 2 1
Cartesian
1.6844 1.6844 4.5812 Y
0.0000 0.0000 0.3106 Be
0.0000 0.0000 2.7435 Be
1.6844 1.6844 1.5271 Cl
```

Its space group is P4/mmm (123). The calculation puts the energy above the most stable polymorph in this dataset at 0.701 eV/atom. For the magnetic moment, the calculation gives 0.30 μB per formula unit. The formation energy (no corrections) is 37.88 kJ/mol of atoms.

---

Record 8
Compound: Y2Be2Cl
Source: Alexandria via LeMat-Bulk
Functional: PBE
Structure: relaxed

```
Y2Be2Cl
1.0
-2.8218 -0.9936 -1.5432
1.6944 -2.4981 -1.4899
-2.3912 -6.9942 5.2046
Y Be Cl
2 2 1
Cartesian
-0.9898 -2.9695 0.0505 Y
-2.5288 -7.5163 2.1210 Y
-2.8884 -4.8668 1.0724 Be
-0.6303 -5.6190 1.0991 Be
0.0000 0.0000 0.0000 Cl
```

Its space group is I4/mmm (139). The calculation puts the energy above the most stable polymorph in this dataset at 0.207 eV/atom. For the magnetic moment, the calculation gives 0.00 μB per formula unit. The formation energy (no corrections) is -4.97 kJ/mol of atoms.

---

Record 9
Compound: Y2BeCl
Source: Alexandria via LeMat-Bulk
Functional: PBE
Structure: relaxed

```
Y2BeCl
1.0
7.6431 0.0095 -0.0056
5.9345 4.8161 0.0042
-6.7425 -2.5435 2.5446
Y Be Cl
2 1 1
Cartesian
0.4508 0.1606 0.0000 Y
4.6653 0.2303 1.2692 Y
6.1441 2.1837 -0.0006 Be
2.3637 2.1203 1.2739 Cl
```

Its space group is Imm2 (44). The calculation puts the energy above the most stable polymorph in this dataset at 0.183 eV/atom. For the magnetic moment, the calculation gives 0.01 μB per formula unit. The formation energy (no corrections) is -43.67 kJ/mol of atoms.

---

Record 10
Compound: Y2BeCl
Source: Alexandria via LeMat-Bulk
Functional: PBE
Structure: relaxed

```
Y2BeCl
1.0
-1.3473 -0.5652 -3.5562
0.4309 -3.4204 -1.7019
-6.5322 -3.4513 0.9499
Y Be Cl
2 1 1
Cartesian
-1.0677 -4.0373 -5.1927 Y
-3.5730 -3.6667 -2.2195 Y
-1.8621 -1.8592 -1.0770 Be
-5.5864 -5.5777 -3.2311 Cl
```

Its space group is R-3m (166). The calculation puts the energy above the most stable polymorph in this dataset at 0.000 eV/atom. For the magnetic moment, the calculation gives 0.00 μB per formula unit. The formation energy (no corrections) is -61.37 kJ/mol of atoms.

---

Record 11
Compound: Y2BeCl
Source: Alexandria via LeMat-Bulk
Functional: PBE
Structure: relaxed

```
Y2BeCl
1.0
-0.9227 -5.6496 -0.3572
2.1950 -5.2026 1.0056
-1.8586 0.0351 4.2395
Y Be Cl
2 1 1
Cartesian
-0.3620 -10.7507 4.3533 Y
-0.3715 -2.7619 1.7553 Y
-0.0502 -5.5049 1.9200 Be
-0.6818 -8.0253 4.1910 Cl
```

Its space group is Amm2 (38). The calculation puts the energy above the most stable polymorph in this dataset at 0.162 eV/atom. For the magnetic moment, the calculation gives 0.11 μB per formula unit. The formation energy (no corrections) is -45.73 kJ/mol of atoms.

---

Record 12
Compound: Y2BeCl
Source: Alexandria via LeMat-Bulk
Functional: PBE
Structure: relaxed

```
Y2BeCl
1.0
-3.7683 0.0701 -1.1927
0.4343 -3.5960 -1.5835
-1.5809 -2.3301 4.8579
Y Be Cl
2 1 1
Cartesian
-1.3832 -2.0388 4.2505 Y
-2.2597 -2.6365 0.4332 Y
-0.5929 -0.8739 1.8219 Be
-3.0504 -3.8019 2.8629 Cl
```

Its space group is P4/mmm (123). The calculation puts the energy above the most stable polymorph in this dataset at 0.006 eV/atom. For the magnetic moment, the calculation gives 0.00 μB per formula unit. The formation energy (no corrections) is -60.79 kJ/mol of atoms.

---

Record 13
Compound: YBeCl3
Source: Alexandria via LeMat-Bulk
Functional: PBE
Structure: relaxed

```
YBeCl3
1.0
4.5566 0.0000 0.0000
0.0000 4.5566 0.0000
0.0000 0.0000 4.5566
Y Be Cl
1 1 3
Cartesian
2.2783 2.2783 2.2783 Y
0.0000 0.0000 0.0000 Be
0.0000 2.2783 0.0000 Cl
0.0000 0.0000 2.2783 Cl
2.2783 0.0000 0.0000 Cl
```

Its space group is Pm-3m (221). The calculation puts the energy above the most stable polymorph in this dataset at 0.334 eV/atom. For the magnetic moment, the calculation gives 1.07 μB per formula unit. The formation energy (no corrections) is -66.53 kJ/mol of atoms.

---

Record 14
Compound: YBe2Cl
Source: Alexandria via LeMat-Bulk
Functional: PBE
Structure: relaxed

```
YBe2Cl
1.0
5.0124 0.0404 0.0000
-2.3872 4.4076 0.0000
0.0000 0.0000 3.4678
Y Be Cl
1 2 1
Cartesian
-1.1936 2.2038 1.7339 Y
0.0000 0.0000 0.0000 Be
1.3126 2.2240 0.0000 Be
2.5062 0.0202 1.7339 Cl
```

Its space group is Cmmm (65). The calculation puts the energy above the most stable polymorph in this dataset at 0.537 eV/atom. For the magnetic moment, the calculation gives 0.00 μB per formula unit. The formation energy (no corrections) is 22.04 kJ/mol of atoms.

---

Record 15
Compound: YBe2Cl
Source: Alexandria via LeMat-Bulk
Functional: PBE
Structure: relaxed

```
YBe2Cl
1.0
-2.8202 0.7554 -3.5398
-2.2077 -3.5103 -1.9642
-4.5340 -0.4507 0.5421
Y Be Cl
1 2 1
Cartesian
-2.3905 -0.8014 -1.2405 Y
0.0000 0.0000 0.0000 Be
-7.1714 -2.4042 -3.7214 Be
-4.7809 -1.6028 -2.4809 Cl
```

Its space group is F-43m (216). The calculation puts the energy above the most stable polymorph in this dataset at 0.513 eV/atom. For the magnetic moment, the calculation gives 0.00 μB per formula unit. The formation energy (no corrections) is 19.72 kJ/mol of atoms.